[1]
The following is a PBE calculation of an optimized crystal structure of La2MnPt9, from the Alexandria database.

```
data_La2MnPt9
_space_group_name_H-M_alt 'R -3 m'
_space_group_IT_number 166
_space_group_name_Hall '-R 3 2"'
_cell_length_a 5.4315
_cell_length_b 5.4315
_cell_length_c 26.9253
_cell_angle_alpha 90.00
_cell_angle_beta 90.00
_cell_angle_gamma 120.00
loop_
_atom_site_label
_atom_site_type_symbol
_atom_site_fract_x
_atom_site_fract_y
_atom_site_fract_z
_atom_site_occupancy
La1 La 0.0000 0.0000 0.1359 1
Mn1 Mn 0.0000 0.0000 0.0000 1
Pt1 Pt 0.0000 0.0000 0.3325 1
Pt2 Pt 0.0000 0.0000 0.5000 1
Pt3 Pt 0.0032 0.5016 0.9167 1
```

Its formation energy is -593 meV/atom. Its total energy is -6.7086 eV per atom.

---

[2]
The following is a PBE calculation of an optimized crystal structure of SmDyLuCd, from the Alexandria database.

```
data_SmDyLuCd
_space_group_name_H-M_alt 'F -4 3 m'
_space_group_IT_number 216
_space_group_name_Hall 'F -4 2 3'
_cell_length_a 7.6985
_cell_length_b 7.6985
_cell_length_c 7.6985
_cell_angle_alpha 90.00
_cell_angle_beta 90.00
_cell_angle_gamma 90.00
loop_
_atom_site_label
_atom_site_type_symbol
_atom_site_fract_x
_atom_site_fract_y
_atom_site_fract_z
_atom_site_occupancy
Sm1 Sm 0.0000 0.0000 0.0000 1
Dy1 Dy 0.0000 0.0000 0.5000 1
Lu1 Lu 0.2500 0.2500 0.2500 1
Cd1 Cd 0.2500 0.2500 0.7500 1
```

Its formation energy is -45 meV/atom. Its total energy is -3.7346 eV per atom.

---

[3]
The following is a PBE calculation of an optimized crystal structure of TcAgGe2, from the Alexandria database.

```
data_TcAgGe2
_space_group_name_H-M_alt 'R -3 m'
_space_group_IT_number 166
_space_group_name_Hall '-R 3 2"'
_cell_length_a 3.0331
_cell_length_b 3.0331
_cell_length_c 26.7834
_cell_angle_alpha 90.00
_cell_angle_beta 90.00
_cell_angle_gamma 120.00
loop_
_atom_site_label
_atom_site_type_symbol
_atom_site_fract_x
_atom_site_fract_y
_atom_site_fract_z
_atom_site_occupancy
Tc1 Tc 0.0000 0.0000 0.0000 1
Ag1 Ag 0.0000 0.0000 0.5000 1
Ge1 Ge 0.0000 0.0000 0.4037 1
```

Its formation energy is 39 meV/atom. The offset from the most stable computed form is 0.000 eV per atom. Its total energy is -5.5745 eV per atom.

---

[4]
The following is a PBE calculation of an optimized crystal structure of LiSbTe2Ru, from the Alexandria database.

```
data_LiSbTe2Ru
_space_group_name_H-M_alt 'P 4/m m m'
_space_group_IT_number 123
_space_group_name_Hall '-P 4 2'
_cell_length_a 5.4485
_cell_length_b 5.4485
_cell_length_c 4.9660
_cell_angle_alpha 90.00
_cell_angle_beta 90.00
_cell_angle_gamma 90.00
loop_
_atom_site_label
_atom_site_type_symbol
_atom_site_fract_x
_atom_site_fract_y
_atom_site_fract_z
_atom_site_occupancy
Li1 Li 0.0000 0.0000 0.0000 1
Sb1 Sb 0.5000 0.5000 0.0000 1
Te1 Te 0.0000 0.5000 0.5000 1
Ru1 Ru 0.5000 0.5000 0.5000 1
```

The offset from the most stable computed form is 0.000 eV per atom. The energy relative to the elements, uncorrected comes out at 0.228 eV per atom. Its total energy is -4.0914 eV per atom.

---

[5]
The following is a PBE calculation of an optimized crystal structure of TlBi4Au4, from the Alexandria database.

```
data_TlBi4Au4
_space_group_name_H-M_alt 'P 42/n'
_space_group_IT_number 86
_cell_length_a 9.4125
_cell_length_b 9.4125
_cell_length_c 5.9242
_cell_angle_alpha 90.00
_cell_angle_beta 90.00
_cell_angle_gamma 90.00
loop_
_space_group_symop_operation_xyz
'x,y,z'
'-x,-y,-z'
'-y,x+1/2,z+1/2'
'y,-x+1/2,-z+1/2'
'-x+1/2,-y+1/2,z'
'x+1/2,y+1/2,-z'
'y+1/2,-x,z+1/2'
'-y+1/2,x,-z+1/2'
loop_
_atom_site_label
_atom_site_type_symbol
_atom_site_fract_x
_atom_site_fract_y
_atom_site_fract_z
_atom_site_occupancy
Tl1 Tl 0.2500 0.2500 0.2500 1
Bi1 Bi 0.0915 0.8722 0.6360 1
Au1 Au 0.0375 0.8809 0.1375 1
```

Its formation energy is 9 meV/atom. The offset from the most stable computed form is 0.020 eV per atom. Its total energy is -3.4358 eV per atom.

---

[6]
The following is a PBE calculation of an optimized crystal structure of Na2TiAuF6, from the Alexandria database.

```
data_Na2TiAuF6
_space_group_name_H-M_alt 'F m -3 m'
_space_group_IT_number 225
_space_group_name_Hall '-F 4 2 3'
_cell_length_a 9.1059
_cell_length_b 9.1059
_cell_length_c 9.1059
_cell_angle_alpha 90.00
_cell_angle_beta 90.00
_cell_angle_gamma 90.00
loop_
_atom_site_label
_atom_site_type_symbol
_atom_site_fract_x
_atom_site_fract_y
_atom_site_fract_z
_atom_site_occupancy
Na1 Na 0.2500 0.2500 0.2500 1
Ti1 Ti 0.0000 0.0000 0.0000 1
Au1 Au 0.0000 0.0000 0.5000 1
F1 F 0.0000 0.0000 0.2077 1
```

The energy relative to the elements, uncorrected comes out at -2.369 eV per atom. Its total energy is -4.8733 eV per atom.